DFT (GGA-PBE) results for an optimized crystal structure of Ni2C.

The structure in CIF format:
```
data_Ni2C
_chemical_formula_sum 'Ni4 C2'
_cell_length_a 5.094
_cell_length_b 5.094
_cell_length_c 2.859
_cell_angle_alpha 90.00
_cell_angle_beta 90.00
_cell_angle_gamma 125.88
_space_group_name_H-M_alt 'P 1'
_space_group_IT_number 1
loop_
_space_group_symop_operation_xyz
'x,y,z'
loop_
_atom_site_label
_atom_site_type_symbol
_atom_site_fract_x
_atom_site_fract_y
_atom_site_fract_z
Ni1 Ni 0.000 0.000 0.000
Ni2 Ni 0.231 0.769 0.500
Ni3 Ni 0.500 0.500 0.500
Ni4 Ni 0.769 0.231 0.500
C1 C 0.355 0.645 0.000
C2 C 0.645 0.355 0.000
```

Its calculated volume is 30 Å³/f.u. For the energy relative to the lowest polymorph listed for this composition, the calculation gives 13.37 kcal/mol of atoms. The calculation puts the energy relative to the elements at 759 meV per atom. Its crystal system is orthorhombic. For the total energy, the calculation gives -18.51 eV/f.u.

DFT (GGA-PBE) results for an optimized crystal structure of Ni2C.

The structure in CIF format:
```
data_Ni2C
_chemical_formula_sum 'Ni4 C2'
_cell_length_a 4.154
_cell_length_b 4.720
_cell_length_c 2.916
_cell_angle_alpha 90.00
_cell_angle_beta 90.00
_cell_angle_gamma 90.00
_space_group_name_H-M_alt 'P 1'
_space_group_IT_number 1
loop_
_space_group_symop_operation_xyz
'x,y,z'
loop_
_atom_site_label
_atom_site_type_symbol
_atom_site_fract_x
_atom_site_fract_y
_atom_site_fract_z
Ni1 Ni 0.225 0.173 0.000
Ni2 Ni 0.275 0.673 0.500
Ni3 Ni 0.725 0.327 0.500
Ni4 Ni 0.775 0.827 0.000
C1 C 0.000 0.000 0.500
C2 C 0.500 0.500 0.000
```

Its calculated volume is 29 Å³/f.u. For the energy relative to the lowest polymorph listed for this composition, the calculation gives 0.00 kcal/mol of atoms. The calculation puts the energy relative to the elements at 179 meV per atom. Its crystal system is orthorhombic. For the total energy, the calculation gives -20.25 eV/f.u.

DFT (GGA-PBE) results for an optimized crystal structure of Ni5C.

The structure in CIF format:
```
data_Ni5C
_chemical_formula_sum 'Ni5 C1'
_cell_length_a 4.265
_cell_length_b 4.265
_cell_length_c 3.788
_cell_angle_alpha 90.00
_cell_angle_beta 90.00
_cell_angle_gamma 120.00
_space_group_name_H-M_alt 'P 1'
_space_group_IT_number 1
loop_
_space_group_symop_operation_xyz
'x,y,z'
loop_
_atom_site_label
_atom_site_type_symbol
_atom_site_fract_x
_atom_site_fract_y
_atom_site_fract_z
Ni1 Ni 0.000 0.684 0.000
Ni2 Ni 0.316 0.316 0.000
Ni3 Ni 0.333 0.667 0.500
Ni4 Ni 0.667 0.333 0.500
Ni5 Ni 0.684 0.000 0.000
C1 C 0.000 0.000 0.500
```

Its calculated volume is 60 Å³/f.u. For the energy relative to the lowest polymorph listed for this composition, the calculation gives 10.45 kcal/mol of atoms. The calculation puts the energy relative to the elements at 625 meV per atom. Its crystal system is hexagonal. For the total energy, the calculation gives -34.38 eV/f.u.

DFT (GGA-PBE) results for an optimized crystal structure of Ni2C.

The structure in CIF format:
```
data_Ni2C
_chemical_formula_sum 'Ni2 C1'
_cell_length_a 5.161
_cell_length_b 4.786
_cell_length_c 2.745
_cell_angle_alpha 81.67
_cell_angle_beta 66.58
_cell_angle_gamma 31.75
_space_group_name_H-M_alt 'P 1'
_space_group_IT_number 1
loop_
_space_group_symop_operation_xyz
'x,y,z'
loop_
_atom_site_label
_atom_site_type_symbol
_atom_site_fract_x
_atom_site_fract_y
_atom_site_fract_z
Ni1 Ni 0.133 0.133 0.867
Ni2 Ni 0.867 0.867 0.133
C1 C 0.500 0.500 0.500
```

Its calculated volume is 30 Å³/f.u. For the energy relative to the lowest polymorph listed for this composition, the calculation gives 8.97 kcal/mol of atoms. The calculation puts the energy relative to the elements at 568 meV per atom. Its crystal system is orthorhombic. For the total energy, the calculation gives -19.08 eV/f.u.

DFT (GGA-PBE) results for an optimized crystal structure of NiC3.

The structure in CIF format:
```
data_NiC3
_chemical_formula_sum 'Ni1 C3'
_cell_length_a 3.380
_cell_length_b 2.442
_cell_length_c 4.171
_cell_angle_alpha 90.00
_cell_angle_beta 111.40
_cell_angle_gamma 90.00
_space_group_name_H-M_alt 'P 1'
_space_group_IT_number 1
loop_
_space_group_symop_operation_xyz
'x,y,z'
loop_
_atom_site_label
_atom_site_type_symbol
_atom_site_fract_x
_atom_site_fract_y
_atom_site_fract_z
Ni1 Ni 0.000 0.000 0.000
C1 C 0.000 0.000 0.500
C2 C 0.266 0.500 0.419
C3 C 0.734 0.500 0.581
```

Its calculated volume is 32 Å³/f.u. For the energy relative to the lowest polymorph listed for this composition, the calculation gives 15.51 kcal/mol of atoms. The calculation puts the energy relative to the elements at 1325 meV per atom. Its crystal system is monoclinic. For the total energy, the calculation gives -28.15 eV/f.u.

DFT (GGA-PBE) results for an optimized crystal structure of NiC3.

The structure in CIF format:
```
data_NiC3
_chemical_formula_sum 'Ni2 C6'
_cell_length_a 3.967
_cell_length_b 3.967
_cell_length_c 3.967
_cell_angle_alpha 90.00
_cell_angle_beta 90.00
_cell_angle_gamma 90.00
_space_group_name_H-M_alt 'P 1'
_space_group_IT_number 1
loop_
_space_group_symop_operation_xyz
'x,y,z'
loop_
_atom_site_label
_atom_site_type_symbol
_atom_site_fract_x
_atom_site_fract_y
_atom_site_fract_z
Ni1 Ni 0.000 0.000 0.000
Ni2 Ni 0.500 0.500 0.500
C1 C 0.000 0.250 0.500
C2 C 0.000 0.750 0.500
C3 C 0.250 0.500 0.000
C4 C 0.500 0.000 0.250
C5 C 0.500 0.000 0.750
C6 C 0.750 0.500 0.000
```

Its calculated volume is 31 Å³/f.u. For the energy relative to the lowest polymorph listed for this composition, the calculation gives 50.19 kcal/mol of atoms. The calculation puts the energy relative to the elements at 2829 meV per atom. Its crystal system is cubic. For the total energy, the calculation gives -22.14 eV/f.u.

DFT (GGA-PBE) results for an optimized crystal structure of Ni7C6.

The structure in CIF format:
```
data_Ni7C6
_chemical_formula_sum 'Ni7 C6'
_cell_length_a 6.885
_cell_length_b 6.885
_cell_length_c 6.885
_cell_angle_alpha 41.96
_cell_angle_beta 41.96
_cell_angle_gamma 41.96
_space_group_name_H-M_alt 'P 1'
_space_group_IT_number 1
loop_
_space_group_symop_operation_xyz
'x,y,z'
loop_
_atom_site_label
_atom_site_type_symbol
_atom_site_fract_x
_atom_site_fract_y
_atom_site_fract_z
Ni1 Ni 0.000 0.000 0.000
Ni2 Ni 0.074 0.074 0.553
Ni3 Ni 0.074 0.553 0.074
Ni4 Ni 0.447 0.926 0.926
Ni5 Ni 0.553 0.074 0.074
Ni6 Ni 0.926 0.447 0.926
Ni7 Ni 0.926 0.926 0.447
C1 C 0.161 0.161 0.161
C2 C 0.314 0.314 0.314
C3 C 0.386 0.386 0.386
C4 C 0.614 0.614 0.614
C5 C 0.686 0.686 0.686
C6 C 0.839 0.839 0.839
```

Its calculated volume is 132 Å³/f.u. The calculation puts the energy relative to the elements at 918 meV per atom. Its crystal system is trigonal. For the total energy, the calculation gives -83.88 eV/f.u.

DFT (GGA-PBE) results for an optimized crystal structure of NiC3.

The structure in CIF format:
```
data_NiC3
_chemical_formula_sum 'Ni4 C12'
_cell_length_a 3.789
_cell_length_b 5.158
_cell_length_c 10.555
_cell_angle_alpha 90.00
_cell_angle_beta 90.00
_cell_angle_gamma 90.00
_space_group_name_H-M_alt 'P 1'
_space_group_IT_number 1
loop_
_space_group_symop_operation_xyz
'x,y,z'
loop_
_atom_site_label
_atom_site_type_symbol
_atom_site_fract_x
_atom_site_fract_y
_atom_site_fract_z
Ni1 Ni 0.233 0.250 0.181
Ni2 Ni 0.267 0.750 0.681
Ni3 Ni 0.733 0.250 0.319
Ni4 Ni 0.767 0.750 0.819
C1 C 0.031 0.115 0.466
C2 C 0.031 0.385 0.466
C3 C 0.248 0.250 0.370
C4 C 0.252 0.750 0.870
C5 C 0.469 0.615 0.966
C6 C 0.469 0.885 0.966
C7 C 0.531 0.115 0.034
C8 C 0.531 0.385 0.034
C9 C 0.748 0.250 0.130
C10 C 0.752 0.750 0.630
C11 C 0.969 0.615 0.534
C12 C 0.969 0.885 0.534
```

Its calculated volume is 52 Å³/f.u. For the energy relative to the lowest polymorph listed for this composition, the calculation gives 4.07 kcal/mol of atoms. The calculation puts the energy relative to the elements at 829 meV per atom. Its crystal system is orthorhombic. For the total energy, the calculation gives -30.14 eV/f.u.

DFT (GGA-PBE) results for an optimized crystal structure of Ni2C.

The structure in CIF format:
```
data_Ni2C
_chemical_formula_sum 'Ni4 C2'
_cell_length_a 5.257
_cell_length_b 5.257
_cell_length_c 4.040
_cell_angle_alpha 90.00
_cell_angle_beta 90.00
_cell_angle_gamma 148.44
_space_group_name_H-M_alt 'P 1'
_space_group_IT_number 1
loop_
_space_group_symop_operation_xyz
'x,y,z'
loop_
_atom_site_label
_atom_site_type_symbol
_atom_site_fract_x
_atom_site_fract_y
_atom_site_fract_z
Ni1 Ni 0.062 0.938 0.750
Ni2 Ni 0.310 0.690 0.750
Ni3 Ni 0.690 0.310 0.250
Ni4 Ni 0.938 0.062 0.250
C1 C 0.327 0.673 0.250
C2 C 0.673 0.327 0.750
```

Its calculated volume is 29 Å³/f.u. For the energy relative to the lowest polymorph listed for this composition, the calculation gives 5.47 kcal/mol of atoms. The calculation puts the energy relative to the elements at 416 meV per atom. Its crystal system is orthorhombic. For the total energy, the calculation gives -19.54 eV/f.u.

DFT (GGA-PBE) results for an optimized crystal structure of Ni2C.

The structure in CIF format:
```
data_Ni2C
_chemical_formula_sum 'Ni2 C1'
_cell_length_a 4.711
_cell_length_b 4.711
_cell_length_c 4.711
_cell_angle_alpha 33.12
_cell_angle_beta 33.12
_cell_angle_gamma 33.12
_space_group_name_H-M_alt 'P 1'
_space_group_IT_number 1
loop_
_space_group_symop_operation_xyz
'x,y,z'
loop_
_atom_site_label
_atom_site_type_symbol
_atom_site_fract_x
_atom_site_fract_y
_atom_site_fract_z
Ni1 Ni 0.000 0.000 0.000
Ni2 Ni 0.176 0.176 0.176
C1 C 0.421 0.421 0.421
```

Its calculated volume is 28 Å³/f.u. For the energy relative to the lowest polymorph listed for this composition, the calculation gives 2.48 kcal/mol of atoms. The calculation puts the energy relative to the elements at 286 meV per atom. Its crystal system is trigonal. For the total energy, the calculation gives -19.93 eV/f.u.

DFT (GGA-PBE) results for an optimized crystal structure of NiC3.

The structure in CIF format:
```
data_NiC3
_chemical_formula_sum 'Ni1 C3'
_cell_length_a 2.767
_cell_length_b 2.767
_cell_length_c 4.040
_cell_angle_alpha 90.00
_cell_angle_beta 90.00
_cell_angle_gamma 90.00
_space_group_name_H-M_alt 'P 1'
_space_group_IT_number 1
loop_
_space_group_symop_operation_xyz
'x,y,z'
loop_
_atom_site_label
_atom_site_type_symbol
_atom_site_fract_x
_atom_site_fract_y
_atom_site_fract_z
Ni1 Ni 0.000 0.000 0.000
C1 C 0.000 0.000 0.500
C2 C 0.500 0.500 0.327
C3 C 0.500 0.500 0.673
```

Its calculated volume is 31 Å³/f.u. For the energy relative to the lowest polymorph listed for this composition, the calculation gives 40.14 kcal/mol of atoms. The calculation puts the energy relative to the elements at 2393 meV per atom. Its crystal system is tetragonal. For the total energy, the calculation gives -23.88 eV/f.u.

DFT (GGA-PBE) results for an optimized crystal structure of NiC3.

The structure in CIF format:
```
data_NiC3
_chemical_formula_sum 'Ni1 C3'
_cell_length_a 2.509
_cell_length_b 2.509
_cell_length_c 4.734
_cell_angle_alpha 90.00
_cell_angle_beta 90.00
_cell_angle_gamma 90.00
_space_group_name_H-M_alt 'P 1'
_space_group_IT_number 1
loop_
_space_group_symop_operation_xyz
'x,y,z'
loop_
_atom_site_label
_atom_site_type_symbol
_atom_site_fract_x
_atom_site_fract_y
_atom_site_fract_z
Ni1 Ni 0.000 0.000 0.000
C1 C 0.000 0.500 0.682
C2 C 0.500 0.000 0.318
C3 C 0.500 0.500 0.500
```

Its calculated volume is 30 Å³/f.u. For the energy relative to the lowest polymorph listed for this composition, the calculation gives 0.00 kcal/mol of atoms. The calculation puts the energy relative to the elements at 652 meV per atom. Its crystal system is tetragonal. For the total energy, the calculation gives -30.84 eV/f.u.